A geometry-optimized ScIn2Mo structure, computed with PBE.

Results
E above lowest polymorph = 0.000 eV/atom
DFT formation energy = -56.4 meV per atom
volume = 19.7 Å³ per atom

Structure (POSCAR):
```
ScIn2Mo
1.0
5.312 0.002 -0.030
1.924 4.951 0.030
-3.601 -2.501 3.002
In Mo Sc
2 1 1
Direct
0.000 0.000 0.000
0.500 0.500 0.000
0.750 0.250 0.500
0.250 0.750 0.500
```